[1]
! CaTa2 (GGA-PBE, relaxed); values from VASP
! Energy of formation = 0.672 eV per atom
! Space-group type = No. 164
! M_tot = 0.000 μB per formula unit
&SYSTEM
  ibrav = 0, nat = 3, ntyp = 2
/
ATOMIC_SPECIES
Ca 40.08 Ca.upf
Ta 180.95 Ta.upf
CELL_PARAMETERS angstrom
3.013 0.000 0.000
-1.506 2.609 0.000
0.000 0.000 8.153
ATOMIC_POSITIONS angstrom
Ca 0.000 0.000 0.000
Ta 0.000 1.740 2.830
Ta 1.506 0.870 5.323

***

[2]
! Tb5DyZn4 (GGA-PBE, relaxed); values from VASP
! Energy of formation = -0.266 eV per atom
! Space-group type = No. 123
! M_tot = 0.000 μB per formula unit
&SYSTEM
  ibrav = 0, nat = 10, ntyp = 3
/
ATOMIC_SPECIES
Tb 158.93 Tb.upf
Dy 162.50 Dy.upf
Zn 65.41 Zn.upf
CELL_PARAMETERS angstrom
3.579 0.000 0.000
0.000 3.579 0.000
0.000 0.000 19.364
ATOMIC_POSITIONS angstrom
Tb 0.000 0.000 0.000
Tb 0.000 0.000 3.566
Tb 0.000 0.000 7.144
Tb 0.000 0.000 12.220
Tb 0.000 0.000 15.799
Dy 1.789 1.789 9.682
Zn 1.789 1.789 1.805
Zn 1.789 1.789 5.360
Zn 1.789 1.789 14.004
Zn 1.789 1.789 17.560

***

[3]
! MgBe2Au (GGA-PBE, relaxed); values from VASP
! Energy of formation = 0.029 eV per atom
! Space-group type = No. 119
! M_tot = 0.000 μB per formula unit
&SYSTEM
  ibrav = 0, nat = 8, ntyp = 3
/
ATOMIC_SPECIES
Mg 24.30 Mg.upf
Be 9.01 Be.upf
Au 196.97 Au.upf
CELL_PARAMETERS angstrom
3.780 0.000 0.000
0.000 3.780 0.000
0.000 0.000 7.471
ATOMIC_POSITIONS angstrom
Mg 0.000 0.000 0.000
Mg 1.890 1.890 3.735
Be 0.000 0.000 3.735
Be 0.000 1.890 1.868
Be 1.890 0.000 5.603
Be 1.890 1.890 0.000
Au 0.000 1.890 5.603
Au 1.890 0.000 1.868

***

[4]
! CdGaB (GGA-PBE, relaxed); values from VASP
! Energy of formation = 0.515 eV per atom
! Space-group type = No. 62
! M_tot = 0.000 μB per formula unit
&SYSTEM
  ibrav = 0, nat = 12, ntyp = 3
/
ATOMIC_SPECIES
Cd 112.41 Cd.upf
Ga 69.72 Ga.upf
B 10.81 B.upf
CELL_PARAMETERS angstrom
11.283 0.000 0.000
0.000 3.556 0.000
0.000 0.000 5.008
ATOMIC_POSITIONS angstrom
Cd 0.162 0.889 1.210
Cd 5.480 2.667 3.714
Cd 5.803 0.889 1.295
Cd 11.122 2.667 3.799
Ga 2.510 0.889 3.093
Ga 3.131 2.667 0.589
Ga 8.152 0.889 4.419
Ga 8.773 2.667 1.915
B 1.753 2.667 2.186
B 3.888 0.889 4.691
B 7.395 2.667 0.318
B 9.530 0.889 2.822

***

[5]
! ZnP4W (GGA-PBE, relaxed); values from VASP
! Energy of formation = 0.208 eV per atom
! Space-group type = No. 13
! M_tot = 0.000 μB per formula unit
&SYSTEM
  ibrav = 0, nat = 12, ntyp = 3
/
ATOMIC_SPECIES
Zn 65.41 Zn.upf
P 30.97 P.upf
W 183.84 W.upf
CELL_PARAMETERS angstrom
4.819 0.000 0.000
0.000 7.765 0.000
-0.482 0.000 6.106
ATOMIC_POSITIONS angstrom
Zn -0.120 1.424 1.526
Zn -0.361 6.341 4.579
P 0.415 1.045 5.369
P 0.655 6.721 2.316
P 0.827 3.565 2.768
P 0.586 4.201 5.821
P 3.752 3.565 0.285
P 3.511 4.201 3.338
P 3.682 1.045 3.790
P 3.923 6.721 0.737
W 2.048 2.567 4.579
W 2.289 5.199 1.526

***

[6]
! Pu5Ge2Ir (GGA-PBE, relaxed); values from VASP
! Energy of formation = -0.297 eV per atom
! Space-group type = No. 1
! M_tot = 15.120 μB per formula unit
&SYSTEM
  ibrav = 0, nat = 8, ntyp = 3
/
ATOMIC_SPECIES
Pu 244.00 Pu.upf
Ge 72.64 Ge.upf
Ir 192.22 Ir.upf
CELL_PARAMETERS angstrom
5.842 0.000 0.000
-2.106 5.456 0.000
-1.700 -2.460 5.234
ATOMIC_POSITIONS angstrom
Pu 0.000 0.000 0.000
Pu -0.979 -1.409 3.025
Pu 0.213 0.354 5.211
Pu 0.340 4.366 2.131
Pu 3.940 1.904 2.136
Ge -0.829 3.104 4.618
Ge 3.152 0.352 4.610
Ir 0.803 1.176 2.534

***

| no. | calculated total energy (eV/cell) |
| --- | --- |
| 1 | -23.7 |
| 2 | -35.5 |
| 3 | -24.4 |
| 4 | -36.3 |
| 5 | -69.2 |
| 6 | -92.1 |